1.
GaBrN2F: optimized geometry, PBE.

```
GaBrN2F
1.0
4.175 0.000 0.000
0.000 4.175 0.000
0.000 0.000 3.895
Ga Br N F
1 1 2 1
direct
0.000 0.000 0.000
0.500 0.500 0.500
0.000 0.500 0.000
0.500 0.000 0.000
0.000 0.000 0.500
```

Properties
Total magnetization in μB per cell: 3.01
N(E_F) in states/eV/atom: 0.613
Raw total energy in eV/atom: -3.880
Energy above the most stable polymorph in this dataset in eV/f.u.: 0.00

---

2.
Pm2Nd3Tm7: optimized geometry, PBE.

```
Pm2Nd3Tm7
1.0
6.333 0.000 0.000
0.000 3.524 0.000
-1.922 0.000 17.383
Pm Nd Tm
2 3 7
direct
0.054 0.000 0.175
0.946 0.000 0.825
0.455 0.500 0.841
0.500 0.000 0.500
0.545 0.500 0.159
0.000 0.500 0.500
0.225 0.000 0.664
0.254 0.000 0.001
0.271 0.500 0.337
0.729 0.500 0.663
0.746 0.000 0.999
0.775 0.000 0.336
```

Properties
Total magnetization in μB per cell: 0.00
N(E_F) in states/eV/atom: 1.458
Raw total energy in eV/atom: -4.499
Energy of formation from the pure elements in eV per atom: 0.093

---

3.
ReIrOs2: optimized geometry, PBE.

```
ReIrOs2
1.0
-1.938 1.938 3.858
1.938 -1.938 3.858
1.938 1.938 -3.858
Re Ir Os
1 1 2
direct
0.000 0.000 0.000
0.250 0.750 0.500
0.500 0.500 0.000
0.750 0.250 0.500
```

Properties
Total magnetization in μB per cell: 0.00
N(E_F) in states/eV/atom: 0.875
Raw total energy in eV/atom: -10.940
Energy above the most stable polymorph in this dataset in eV/f.u.: 0.47
Energy of formation from the pure elements in eV per atom: 0.002

---

4.
Hf2PCO: optimized geometry, PBE.

```
Hf2PCO
1.0
4.473 0.000 0.000
0.000 4.473 0.000
0.000 0.000 3.549
Hf P C O
2 1 1 1
direct
0.000 0.500 0.000
0.500 0.000 0.000
0.000 0.000 0.500
0.500 0.500 0.000
0.500 0.500 0.500
```

Properties
Total magnetization in μB per cell: 0.00
N(E_F) in states/eV/atom: 0.700
Raw total energy in eV/atom: -8.216

---

5.
La2TlMo: optimized geometry, PBE.

```
La2TlMo
1.0
1.823 1.052 10.056
-1.823 1.052 10.056
0.000 -2.105 10.056
La Tl Mo
2 1 1
direct
0.237 0.237 0.237
0.763 0.763 0.763
0.000 0.000 0.000
0.500 0.500 0.500
```

Properties
Total magnetization in μB per cell: 0.00
N(E_F) in states/eV/atom: 1.300
Raw total energy in eV/atom: -5.457
Energy above the most stable polymorph in this dataset in eV/f.u.: 0.59
Energy of formation from the pure elements in eV per atom: 0.306

---

6.
PdPtN2: optimized geometry, PBE.

```
PdPtN2
1.0
-2.393 2.393 4.739
2.393 -2.393 4.739
2.393 2.393 -4.739
Pd Pt N
2 2 4
direct
0.000 0.000 0.000
0.750 0.250 0.500
0.250 0.750 0.500
0.500 0.500 0.000
0.141 0.625 0.016
0.375 0.391 0.516
0.609 0.125 0.984
0.875 0.859 0.484
```

Properties
Total magnetization in μB per cell: 0.00
N(E_F) in states/eV/atom: 0.534
Raw total energy in eV/atom: -5.940
Energy above the most stable polymorph in this dataset in eV/f.u.: 1.11

---

7.
ErFeGe3Rh: optimized geometry, PBE.

```
ErFeGe3Rh
1.0
3.822 -5.427 0.000
3.822 5.427 0.000
0.000 0.000 5.621
Er Fe Ge Rh
2 2 6 2
direct
0.246 0.754 0.750
0.754 0.246 0.250
0.038 0.962 0.250
0.962 0.038 0.750
0.240 0.240 0.000
0.240 0.240 0.500
0.243 0.757 0.250
0.757 0.243 0.750
0.760 0.760 0.000
0.760 0.760 0.500
0.459 0.541 0.250
0.541 0.459 0.750
```

Properties
Total magnetization in μB per cell: 2.37
N(E_F) in states/eV/atom: 0.543
Raw total energy in eV/atom: -5.928
Energy of formation from the pure elements in eV per atom: -0.223

---

8.
Tl2TeBr: optimized geometry, PBE.

```
Tl2TeBr
1.0
6.985 0.000 0.000
0.000 5.804 0.000
-1.556 0.000 6.928
Tl Te Br
4 2 2
direct
0.066 0.250 0.348
0.359 0.750 0.081
0.641 0.250 0.919
0.934 0.750 0.652
0.453 0.750 0.549
0.547 0.250 0.451
0.130 0.250 0.869
0.870 0.750 0.131
```

Properties
Total magnetization in μB per cell: 0.00
N(E_F) in states/eV/atom: 0.215
Raw total energy in eV/atom: -2.870
Energy above the most stable polymorph in this dataset in eV/f.u.: 0.00